# Sr2Zn6Ag9 (PBE, relaxed)
# Volume   372 Å³ per cell
# Electronic total energy   -38.1 eV/cell
data_Sr2Zn6Ag9
_chemical_formula_sum 'Sr2 Zn6 Ag9'
_symmetry_space_group_name_H-M 'P 1'
_symmetry_Int_Tables_number 1
_symmetry_space_group_name_Hall 'P 1'
_cell_length_a 5.763
_cell_length_b 5.763
_cell_length_c 12.939
_cell_angle_alpha 90.00
_cell_angle_beta 90.00
_cell_angle_gamma 120.00
loop_
_atom_site_label
_atom_site_fract_x
_atom_site_fract_y
_atom_site_fract_z
Sr1 0.000 0.000 0.173
Sr2 0.000 0.000 0.827
Zn1 0.333 0.667 0.166
Zn2 0.333 0.667 0.500
Zn3 0.333 0.667 0.834
Zn4 0.667 0.333 0.166
Zn5 0.667 0.333 0.500
Zn6 0.667 0.333 0.834
Ag1 0.000 0.500 0.000
Ag2 0.000 0.500 0.334
Ag3 0.000 0.500 0.666
Ag4 0.500 0.000 0.000
Ag5 0.500 0.000 0.334
Ag6 0.500 0.000 0.666
Ag7 0.500 0.500 0.000
Ag8 0.500 0.500 0.334
Ag9 0.500 0.500 0.666